First-principles (PBE) data for a relaxed structure of LaNd2SmEr2, as listed in the Alexandria database.

It has space group Pnnm (No. 58), with a = 7.082 Å, b = 9.960 Å, c = 5.738 Å, α = 90.00°, β = 90.00° and γ = 90.00°. The distinct sites, in fractional coordinates, are La at (0.000, 0.000, 0.000), Nd at (0.248, 0.333, 0.000), Sm at (0.000, 0.500, 0.500) and Er at (0.250, 0.166, 0.500).

The electronic total energy comes out at -4.6537 eV/atom. The density of states at the Fermi level comes out at 1.584 states/eV/atom. As for the crystal system: orthorhombic. For the total magnetization, the calculation gives 0.000 μB per cell. The energy of formation from the pure elements is 0.4 eV/f.u.


First-principles (PBE) data for a relaxed structure of YTlCr, as listed in the Alexandria database.

It has space group F-43m (No. 216), with a = 7.017 Å, b = 7.017 Å, c = 7.017 Å, α = 90.00°, β = 90.00° and γ = 90.00°. The distinct sites, in fractional coordinates, are Y at (0.000, 0.000, 0.000), Tl at (0.250, 0.250, 0.750) and Cr at (0.250, 0.250, 0.250).

The electronic total energy comes out at -5.4755 eV/atom. As for the relative energy among the computed polymorphs: 561.8 meV/atom. The density of states at the Fermi level comes out at 0.418 states/eV/atom. As for the crystal system: cubic. For the total magnetization, the calculation gives 16.246 μB per cell. The energy of formation from the pure elements is 2.0 eV/f.u.


First-principles (PBE) data for a relaxed structure of MgBH, as listed in the Alexandria database.

It has space group Amm2 (No. 38), with a = 3.860 Å, b = 3.102 Å, c = 11.332 Å, α = 90.00°, β = 90.00° and γ = 90.00°. The distinct sites, in fractional coordinates, are Mg at (0.000, 0.000, 0.000), Mg at (0.500, 0.000, 0.237), B at (0.500, 0.000, 0.452), B at (0.500, 0.000, 0.890), H at (0.000, 0.000, 0.165) and H at (0.500, 0.000, 0.568).

The electronic total energy comes out at -3.8264 eV/atom. As for the relative energy among the computed polymorphs: 97.6 meV/atom. The density of states at the Fermi level comes out at 0.189 states/eV/atom. As for the crystal system: orthorhombic. For the total magnetization, the calculation gives 0.000 μB per cell.


First-principles (PBE) data for a relaxed structure of MnAgW2, as listed in the Alexandria database.

It has space group Cm (No. 8), with a = 9.215 Å, b = 2.701 Å, c = 5.070 Å, α = 90.00°, β = 97.25° and γ = 90.00°. The distinct sites, in fractional coordinates, are Mn at (0.000, 0.000, 0.000), Ag at (0.249, 0.500, 0.241), W at (0.001, 0.500, 0.503) and W at (0.257, 0.000, 0.755).

The electronic total energy comes out at -8.9506 eV/atom. As for the relative energy among the computed polymorphs: 204.9 meV/atom. The density of states at the Fermi level comes out at 0.851 states/eV/atom. As for the crystal system: monoclinic. For the total magnetization, the calculation gives 5.240 μB per cell. The energy of formation from the pure elements is 2.1 eV/f.u.


Which value of density of states at the Fermi level does entry 2 give?
0.418 states/eV/atom